Below is a geometry-optimized TiNbCuRu structure, with properties calculated at the GGA-PBE level.

Calculated values
- Total energy: -32.05 eV per formula unit
- Calculated volume: 15.33 A^3/atom
- Density of states at the Fermi level: 2.69 states/eV/f.u.
- Calculated formation energy: -0.1772 eV/atom

a b c (Å): 4.4259 4.4259 4.4259
angles (deg): 60.00 60.00 60.00
With the nearest neighbours (Å) after each atom.
Sites, in units of the cell vectors:
Cu: 0.0000 0.0000 0.0000  4 Nb 2.71, 4 Ti 2.71
Ti: 0.2500 0.2500 0.2500  4 Ru 2.71, 4 Cu 2.71
Ru: 0.5000 0.5000 0.5000  4 Nb 2.71, 4 Ti 2.71
Nb: 0.7500 0.7500 0.7500  4 Ru 2.71, 4 Cu 2.71